Record 1
Compound: CrTcTe2N
Source: Alexandria via LeMat-Bulk
Functional: PBEsol
Structure: relaxed

a b c (Å): 3.639 5.325 5.325
angles (deg): 90.00 90.00 90.00
Last column: magnetic moment on the atom in μB.
Atoms (fractional coordinates):
Tc 0.000 0.000 0.000  0.03
Te 0.000 0.500 0.000  -0.12
Cr 0.500 0.500 0.500  3.90
N 0.500 0.000 0.000  0.02
Te 0.000 0.000 0.500  -0.12

**E**: -6.98 eV/atom
**ΔE_f (raw)**: 0.433 eV per atom

Record 2
Compound: LiI2NO
Source: Alexandria via LeMat-Bulk
Functional: PBEsol
Structure: relaxed

a b c (Å): 3.922 5.044 5.044
angles (deg): 90.00 90.00 90.00
Last column: magnetic moment on the atom in μB.
Atoms (fractional coordinates):
Li 0.500 0.500 0.500  0.00
O 0.000 0.000 0.000  0.02
I 0.000 0.000 0.500  0.07
I 0.000 0.500 0.000  0.07
N 0.500 0.000 0.000  1.27

**E**: -3.09 eV/atom
**ΔE_f (raw)**: 0.763 eV per atom

Record 3
Compound: CaYO2
Source: Alexandria via LeMat-Bulk
Functional: PBEsol
Structure: relaxed

a b c (Å): 4.082 4.082 4.082
angles (deg): 60.00 60.00 60.00
Atoms (fractional coordinates):
Y 0.500 0.500 0.500
Ca 0.000 0.000 0.000
O 0.750 0.750 0.750
O 0.250 0.250 0.250

**E**: -7.24 eV/atom
**Energy relative to the lowest polymorph listed for this composition**: 0.071 eV/atom
**ΔE_f (raw)**: -2.375 eV per atom

Record 4
Compound: SrHf2Ir2
Source: Alexandria via LeMat-Bulk
Functional: PBEsol
Structure: relaxed

a b c (Å): 4.447 4.447 6.403
angles (deg): 110.32 110.32 90.00
Atoms (fractional coordinates):
Sr 0.000 0.000 0.000
Hf 0.250 0.750 0.500
Ir 0.381 0.381 0.762
Hf 0.750 0.250 0.500
Ir 0.619 0.619 0.238

**E**: -9.19 eV/atom

Record 5
Compound: InSeS3
Source: Alexandria via LeMat-Bulk
Functional: PBEsol
Structure: relaxed

a b c (Å): 4.762 4.762 4.762
angles (deg): 90.00 90.00 90.00
Atoms (fractional coordinates):
S 0.000 0.000 0.500
Se 0.000 0.000 0.000
S 0.000 0.500 0.000
S 0.500 0.000 0.000
In 0.500 0.500 0.500

**E**: -3.69 eV/atom
**ΔE_f (raw)**: 0.310 eV per atom

Record 6
Compound: TaCoB2
Source: Alexandria via LeMat-Bulk
Functional: PBEsol
Structure: relaxed

a b c (Å): 3.128 5.894 8.090
angles (deg): 90.00 90.00 90.00
Atoms (fractional coordinates):
B 0.250 0.233 0.575
B 0.250 0.164 0.170
B 0.750 0.336 0.670
B 0.750 0.767 0.425
Ta 0.250 0.638 0.633
B 0.250 0.664 0.330
B 0.750 0.836 0.830
Ta 0.750 0.362 0.367
B 0.750 0.267 0.075
B 0.250 0.733 0.925
Co 0.250 0.993 0.386
Ta 0.750 0.862 0.133
Co 0.750 0.007 0.614
Co 0.250 0.493 0.114
Ta 0.250 0.138 0.867
Co 0.750 0.507 0.886

**E**: -9.29 eV/atom